No. 1
DFT (PBE-GGA) results for crystalline MgMnIrOs2 at its relaxed geometry.

Lattice parameters (Å, degrees): 4.3536 4.4318 4.3536 90.00 90.00 90.00
Last column: nearest neighbours and their distance in Å.
Sites, in units of the cell vectors:
1 Os 0.0000 0.0000 0.5000  2 Mn 2.18
2 Mn 0.0000 0.0000 0.0000  4 Os 2.18, 2 Mg 2.22
3 Mg 0.0000 0.5000 0.0000  2 Mn 2.22
4 Os 0.5000 0.0000 0.0000  2 Mn 2.18
5 Ir 0.5000 0.5000 0.5000  4 Mg 3.08, 8 Os 3.11

Summary:
- SG: P4/mmm, No. 123
- ΔE_f: 1.44 eV/atom

***

No. 2
DFT (PBE-GGA) results for crystalline MgPaMnIr at its relaxed geometry.

Lattice parameters (Å, degrees): 4.6263 4.6263 4.6263 60.00 60.00 60.00
Last column: nearest neighbours and their distance in Å.
Sites, in units of the cell vectors:
1 Mn 0.7500 0.7500 0.7500  4 Pa 2.83, 4 Mg 2.83
2 Pa 0.0000 0.0000 0.0000  4 Mn 2.83, 4 Ir 2.83
3 Mg 0.5000 0.5000 0.5000  4 Mn 2.83, 4 Ir 2.83
4 Ir 0.2500 0.2500 0.2500  4 Pa 2.83, 4 Mg 2.83

Summary:
- SG: F-43m, No. 216
- ΔE_f: -0.20 eV/atom

***

No. 3
DFT (PBE-GGA) results for crystalline MgMnIrPb2 at its relaxed geometry.

Lattice parameters (Å, degrees): 5.2737 4.6248 5.2737 90.00 90.00 90.00
Last column: nearest neighbours and their distance in Å.
Sites, in units of the cell vectors:
1 Mg 0.0000 0.0000 0.0000  2 Ir 2.31
2 Ir 0.0000 0.5000 0.0000  2 Mg 2.31
3 Pb 0.0000 0.0000 0.5000  2 Mg 2.64
4 Pb 0.5000 0.0000 0.0000  2 Mg 2.64
5 Mn 0.5000 0.5000 0.5000  8 Pb 3.51, 4 Ir 3.73

Summary:
- SG: P4/mmm, No. 123
- ΔE_f: 1.60 eV/atom

***

No. 4
DFT (PBE-GGA) results for crystalline PuMgMnIr at its relaxed geometry.

Lattice parameters (Å, degrees): 4.6457 4.6457 4.6457 60.00 60.00 60.00
Last column: nearest neighbours and their distance in Å.
Sites, in units of the cell vectors:
1 Pu 0.5000 0.5000 0.5000  4 Ir 2.84, 4 Mn 2.84
2 Mg 0.0000 0.0000 0.0000  4 Mn 2.84, 4 Ir 2.84
3 Ir 0.7500 0.7500 0.7500  4 Mg 2.84, 4 Pu 2.84
4 Mn 0.2500 0.2500 0.2500  4 Pu 2.84, 4 Mg 2.84

Summary:
- SG: F-43m, No. 216
- ΔE_f: -0.22 eV/atom

***

No. 5
DFT (PBE-GGA) results for crystalline MgMnIrRu2 at its relaxed geometry.

Lattice parameters (Å, degrees): 4.3685 4.4045 4.3685 90.00 90.00 90.00
Last column: nearest neighbours and their distance in Å.
Sites, in units of the cell vectors:
1 Ir 0.0000 0.5000 0.0000  2 Mg 2.20
2 Mg 0.0000 0.0000 0.0000  4 Ru 2.18, 2 Ir 2.20
3 Ru 0.0000 0.0000 0.5000  2 Mg 2.18
4 Mn 0.5000 0.5000 0.5000  4 Ir 3.09, 8 Ru 3.10
5 Ru 0.5000 0.0000 0.0000  2 Mg 2.18

Summary:
- SG: P4/mmm, No. 123
- ΔE_f: 1.99 eV/atom

***

No. 6
DFT (PBE-GGA) results for crystalline MgScMnIr at its relaxed geometry.

Lattice parameters (Å, degrees): 4.5461 4.5461 4.5461 60.00 60.00 60.00
Last column: nearest neighbours and their distance in Å.
Sites, in units of the cell vectors:
1 Mn 0.5000 0.5000 0.5000  4 Sc 2.78, 4 Mg 2.78
2 Sc 0.2500 0.2500 0.2500  4 Ir 2.78, 4 Mn 2.78
3 Ir 0.0000 0.0000 0.0000  4 Mg 2.78, 4 Sc 2.78
4 Mg 0.7500 0.7500 0.7500  4 Mn 2.78, 4 Ir 2.78

Summary:
- SG: F-43m, No. 216
- ΔE_f: -0.33 eV/atom

***

Question: The highest ΔE_f belongs to which entry?
Answer: MgMnIrRu2

***

Question: Look up the ΔE_f of the second one.
Answer: -0.20 eV/atom

***

Question: Which of these has the lowest ΔE_f?
Answer: MgScMnIr